## Hf4TaN4 (GGA-PBE)

Data for a geometry-optimized Hf4TaN4 structure.

a = 4.576 Å, b = 5.485 Å, c = 5.484 Å
α = 79.93°, β = 65.34°, γ = 65.34°
Positions (direct):
N1 0.901 0.399 0.798
N2 0.099 0.601 0.202
N3 0.699 0.202 0.399
N4 0.301 0.798 0.601
Hf1 0.400 0.401 0.800
Hf2 0.199 0.200 0.401
Hf3 0.801 0.800 0.599
Hf4 0.600 0.599 0.200
Ta1 0.000 0.000 0.000

Results
Uncorrected energy (eV/atom): -10.9553
V (Å³/cell): 114
DOS at the Fermi energy (states/eV/f.u.): 2.6
Space group: I4/m (87)
Uncorrected formation energy (meV/atom): -1514

## ZrTl3Sb (GGA-PBE)

Data for a geometry-optimized ZrTl3Sb structure.

a = 5.704 Å, b = 5.704 Å, c = 5.704 Å
α = 90.00°, β = 90.00°, γ = 90.00°
Site moments in Bohr magnetons follow the coordinates.
Positions (direct):
Tl1 0.000 0.000 0.500  0.00
Tl2 0.000 0.500 0.000  0.01
Tl3 0.500 0.000 0.000  0.00
Zr1 0.500 0.500 0.500  1.31
Sb1 0.000 0.000 0.000  0.03

Results
Uncorrected energy (eV/atom): -2.9499
V (Å³/cell): 186
DOS at the Fermi energy (states/eV/f.u.): 7.1
Space group: Pm-3m (221)
Uncorrected formation energy (meV/atom): 1004

## BaCaRu3 (GGA-PBE)

Data for a geometry-optimized BaCaRu3 structure.

a = 5.090 Å, b = 5.090 Å, c = 5.090 Å
α = 90.00°, β = 90.00°, γ = 90.00°
Site moments in Bohr magnetons follow the coordinates.
Positions (direct):
Ru1 0.500 0.000 0.000  1.08
Ru2 0.000 0.000 0.500  1.11
Ru3 0.000 0.500 0.000  1.33
Ca1 0.500 0.500 0.500  -0.03
Ba1 0.000 0.000 0.000  -0.03

Results
Uncorrected energy (eV/atom): -4.3716
ΔE_f (meV per atom): 1978.8
V (Å³/cell): 132
DOS at the Fermi energy (states/eV/f.u.): 12.6
Space group: Pm-3m (221)

## Cs3Rb2Hg4Au2 (GGA-PBE)

Data for a geometry-optimized Cs3Rb2Hg4Au2 structure.

a = 5.092 Å, b = 5.092 Å, c = 23.616 Å
α = 90.00°, β = 90.00°, γ = 120.00°
Positions (direct):
Cs1 0.000 0.000 0.790
Cs2 0.000 0.000 0.000
Cs3 0.000 0.000 0.210
Rb1 0.667 0.333 0.419
Rb2 0.333 0.667 0.581
Hg1 0.667 0.333 0.105
Hg2 0.333 0.667 0.322
Hg3 0.333 0.667 0.895
Hg4 0.667 0.333 0.678
Au1 0.333 0.667 0.112
Au2 0.667 0.333 0.888

Results
Uncorrected energy (eV/atom): -1.3362
ΔE_f (meV per atom): -221.9
V (Å³/cell): 530
DOS at the Fermi energy (states/eV/f.u.): 5.9
Space group: P-3m1 (164)